# K2HgBr

Crystalline K2HgBr at its relaxed geometry (PBE, Alexandria via LeMat-Bulk).

Geometry as POSCAR:
```
K2HgBr
1.0
8.4539 0.0000 0.0000
0.0000 8.4539 0.0000
0.0000 0.0000 8.4539
K Hg Br
8 4 4
Cartesian
2.1135 2.1135 2.1135 K
2.1135 2.1135 6.3404 K
2.1135 6.3404 2.1135 K
2.1135 6.3404 6.3404 K
6.3404 2.1135 2.1135 K
6.3404 2.1135 6.3404 K
6.3404 6.3404 2.1135 K
6.3404 6.3404 6.3404 K
0.0000 0.0000 0.0000 Hg
0.0000 4.2269 4.2269 Hg
4.2269 0.0000 4.2269 Hg
4.2269 4.2269 0.0000 Hg
0.0000 0.0000 4.2269 Br
0.0000 4.2269 0.0000 Br
4.2269 0.0000 0.0000 Br
4.2269 4.2269 4.2269 Br
```

## Properties
ρ in g cm⁻³: 3.94
Calculated total energy in eV per formula unit: -7.26
Crystal system: cubic
Raw formation energy in eV per atom: -0.772
Energy above the most stable polymorph in this dataset in meV/atom: 136.2